[1]
Pr4Y2H GGA-PBE relaxed; final energy = -4.973 eV per atom; size of the total moment = 0.000 μB/f.u.; SG = I4/mmm (139)
1.0
-0.096 0.332 5.000
-3.561 -3.523 0.166
4.389 -7.855 3.117
Pr Y H
4 2 1
direct
0.500 0.000 0.000
0.153 0.153 0.694
0.000 0.500 0.000
0.847 0.847 0.306
0.645 0.645 0.710
0.355 0.355 0.290
0.000 0.000 0.000


[2]
Cs2SnAs GGA-PBE relaxed; ΔE to the lowest computed polymorph = 0 meV/atom; final energy = -2.748 eV per atom; energy relative to the elements = -0.1581 eV/atom; size of the total moment = 0.000 μB/f.u.; SG = I-42d (122)
1.0
13.934 0.000 0.000
0.000 13.934 0.000
6.967 6.967 2.691
Sn Cs As
2 4 2
direct
0.000 0.000 0.000
0.750 0.250 0.500
0.875 0.689 0.750
0.375 0.561 0.750
0.311 0.625 0.250
0.439 0.125 0.250
0.500 0.500 0.000
0.250 0.750 0.500


Number 1: Fermi-level density of states 9.83 states/eV/f.u., density 5.6 g cm⁻³. Number 2: Fermi-level density of states 3.63 states/eV/f.u., density 2.9 g cm⁻³.